Density functional theory data (PBE) for a geometry-optimized LiYTlGa structure.

Structure (CIF):
```
data_LiYTlGa
_symmetry_space_group_name_H-M 'F -4 3 m'
_symmetry_Int_Tables_number 216
_symmetry_space_group_name_Hall 'F -4 2 3'
_cell_length_a 7.1034
_cell_length_b 7.1034
_cell_length_c 7.1034
_cell_angle_alpha 90.00
_cell_angle_beta 90.00
_cell_angle_gamma 90.00
loop_
_atom_site_label
_atom_site_fract_x
_atom_site_fract_y
_atom_site_fract_z
Li1 0.0000 0.0000 0.0000
Y1 0.0000 0.0000 0.5000
Tl1 0.2500 0.2500 0.2500
Ga1 0.2500 0.2500 0.7500
```

## Properties
DOS(E_F): 0.34 states/eV/atom
ρ: 6.9 g/cm3
DFT formation energy: -0.361 eV per atom